# NbTcPd2 PBE-GGA relaxed
# Excess energy over the best structure of this formula in the dataset: 37 meV/atom
# Formation enthalpy at 0 K: -0.85 eV/f.u.
# Electronic total energy: -31.67 eV/f.u.
# Total magnetization: 0.000 μB/f.u.
data_NbTcPd2
_chemical_formula_sum 'Nb4 Tc4 Pd8'
_cell_length_a 4.555
_cell_length_b 5.595
_cell_length_c 9.796
_cell_angle_alpha 90.00
_cell_angle_beta 90.00
_cell_angle_gamma 90.00
_symmetry_space_group_name_H-M 'A m m 2'
_symmetry_Int_Tables_number 38
_symmetry_space_group_name_Hall 'A 2 -2'
loop_
_atom_site_label
_atom_site_type_symbol
_atom_site_fract_x
_atom_site_fract_y
_atom_site_fract_z
Nb1 Nb 0.000 0.000 0.000
Nb2 Nb 0.500 0.000 0.344
Tc1 Tc 0.500 0.237 0.086
Pd1 Pd 0.000 0.000 0.509
Pd2 Pd 0.000 0.248 0.251
Pd3 Pd 0.500 0.000 0.827

---

# NbTcPd2 PBE-GGA relaxed
# Excess energy over the best structure of this formula in the dataset: 81 meV/atom
# Formation enthalpy at 0 K: -0.67 eV/f.u.
# Electronic total energy: -31.49 eV/f.u.
# Total magnetization: 0.000 μB/f.u.
data_NbTcPd2
_chemical_formula_sum 'Nb4 Tc4 Pd8'
_cell_length_a 8.818
_cell_length_b 4.110
_cell_length_c 7.935
_cell_angle_alpha 90.00
_cell_angle_beta 118.50
_cell_angle_gamma 90.00
_symmetry_space_group_name_H-M 'C 1 m 1'
_symmetry_Int_Tables_number 8
_symmetry_space_group_name_Hall 'C -2y'
loop_
_atom_site_label
_atom_site_type_symbol
_atom_site_fract_x
_atom_site_fract_y
_atom_site_fract_z
Nb1 Nb 0.000 0.000 0.000
Nb2 Nb 0.013 0.500 0.713
Tc1 Tc 0.265 0.000 0.374
Tc2 Tc 0.284 0.500 0.628
Pd1 Pd 0.009 0.500 0.245
Pd2 Pd 0.019 0.000 0.486
Pd3 Pd 0.243 0.500 0.107
Pd4 Pd 0.260 0.000 0.868

---

# NbTcPd PBE-GGA relaxed
# Formation enthalpy at 0 K: -0.11 eV/f.u.
# Electronic total energy: -25.74 eV/f.u.
# Total magnetization: 0.000 μB/f.u.
data_NbTcPd
_chemical_formula_sum 'Nb2 Tc2 Pd2'
_cell_length_a 3.265
_cell_length_b 3.265
_cell_length_c 9.030
_cell_angle_alpha 90.00
_cell_angle_beta 90.00
_cell_angle_gamma 90.00
_symmetry_space_group_name_H-M 'P 4/n m m'
_symmetry_Int_Tables_number 129
loop_
_symmetry_equiv_pos_as_xyz
'x,y,z'
'-x,-y,-z'
'-y+1/2,x,z'
'y+1/2,-x,-z'
'-x+1/2,-y+1/2,z'
'x+1/2,y+1/2,-z'
'y,-x+1/2,z'
'-y,x+1/2,-z'
'x+1/2,-y,-z'
'-x+1/2,y,z'
'-y,-x,-z'
'y,x,z'
'-x,y+1/2,-z'
'x,-y+1/2,z'
'y+1/2,x+1/2,-z'
'-y+1/2,-x+1/2,z'
loop_
_atom_site_label
_atom_site_type_symbol
_atom_site_fract_x
_atom_site_fract_y
_atom_site_fract_z
Nb1 Nb 0.250 0.250 0.096
Tc1 Tc 0.250 0.250 0.745
Pd1 Pd 0.250 0.250 0.420

---

# NbTc2Pd PBE-GGA relaxed
# Excess energy over the best structure of this formula in the dataset: 0 meV/atom
# Formation enthalpy at 0 K: -0.45 eV/f.u.
# Electronic total energy: -36.45 eV/f.u.
# Total magnetization: 0.000 μB/f.u.
data_NbTc2Pd
_chemical_formula_sum 'Nb1 Tc2 Pd1'
_cell_length_a 3.914
_cell_length_b 3.914
_cell_length_c 4.030
_cell_angle_alpha 90.00
_cell_angle_beta 90.00
_cell_angle_gamma 90.00
_symmetry_space_group_name_H-M 'P 4/m m m'
_symmetry_Int_Tables_number 123
_symmetry_space_group_name_Hall '-P 4 2'
loop_
_atom_site_label
_atom_site_type_symbol
_atom_site_fract_x
_atom_site_fract_y
_atom_site_fract_z
Nb1 Nb 0.000 0.000 0.000
Tc1 Tc 0.000 0.500 0.500
Pd1 Pd 0.500 0.500 0.000

---

# NbTcPd2 PBE-GGA relaxed
# Excess energy over the best structure of this formula in the dataset: 24 meV/atom
# Formation enthalpy at 0 K: -0.90 eV/f.u.
# Electronic total energy: -31.72 eV/f.u.
# Total magnetization: 0.000 μB/f.u.
data_NbTcPd2
_chemical_formula_sum 'Nb2 Tc2 Pd4'
_cell_length_a 4.952
_cell_length_b 4.475
_cell_length_c 5.659
_cell_angle_alpha 90.00
_cell_angle_beta 90.17
_cell_angle_gamma 90.00
_symmetry_space_group_name_H-M 'P 1 m 1'
_symmetry_Int_Tables_number 6
_symmetry_space_group_name_Hall 'P -2y'
loop_
_atom_site_label
_atom_site_type_symbol
_atom_site_fract_x
_atom_site_fract_y
_atom_site_fract_z
Nb1 Nb 0.000 0.000 0.000
Nb2 Nb 0.323 0.500 0.497
Tc1 Tc 0.841 0.500 0.258
Tc2 Tc 0.988 0.000 0.474
Pd1 Pd 0.332 0.500 0.999
Pd2 Pd 0.492 0.000 0.244
Pd3 Pd 0.495 0.000 0.741
Pd4 Pd 0.825 0.500 0.752

---

# Nb2TcPd2 PBE-GGA relaxed
# Excess energy over the best structure of this formula in the dataset: 485 meV/atom
# Formation enthalpy at 0 K: 2.94 eV/f.u.
# Electronic total energy: -37.96 eV/f.u.
# Total magnetization: 0.026 μB/f.u.
data_Nb2TcPd2
_chemical_formula_sum 'Nb4 Tc2 Pd4'
_cell_length_a 3.700
_cell_length_b 3.700
_cell_length_c 12.968
_cell_angle_alpha 90.00
_cell_angle_beta 90.00
_cell_angle_gamma 90.00
_symmetry_space_group_name_H-M 'I 4/m m m'
_symmetry_Int_Tables_number 139
_symmetry_space_group_name_Hall '-I 4 2'
loop_
_atom_site_label
_atom_site_type_symbol
_atom_site_fract_x
_atom_site_fract_y
_atom_site_fract_z
Nb1 Nb 0.000 0.500 0.250
Tc1 Tc 0.000 0.000 0.000
Pd1 Pd 0.000 0.000 0.405

---

# Nb3TcPd PBE-GGA relaxed
# Excess energy over the best structure of this formula in the dataset: 0 meV/atom
# Formation enthalpy at 0 K: 5.21 eV/f.u.
# Electronic total energy: -40.56 eV/f.u.
# Total magnetization: 0.000 μB/f.u.
data_Nb3TcPd
_chemical_formula_sum 'Nb3 Tc1 Pd1'
_cell_length_a 4.767
_cell_length_b 4.767
_cell_length_c 4.767
_cell_angle_alpha 90.00
_cell_angle_beta 90.00
_cell_angle_gamma 90.00
_symmetry_space_group_name_H-M 'P m -3 m'
_symmetry_Int_Tables_number 221
_symmetry_space_group_name_Hall '-P 4 2 3'
loop_
_atom_site_label
_atom_site_type_symbol
_atom_site_fract_x
_atom_site_fract_y
_atom_site_fract_z
Nb1 Nb 0.000 0.000 0.500
Tc1 Tc 0.000 0.000 0.000
Pd1 Pd 0.500 0.500 0.500

---

# Nb2TcPd2 PBE-GGA relaxed
# Excess energy over the best structure of this formula in the dataset: 0 meV/atom
# Formation enthalpy at 0 K: 0.51 eV/f.u.
# Electronic total energy: -40.38 eV/f.u.
# Total magnetization: 0.000 μB/f.u.
data_Nb2TcPd2
_chemical_formula_sum 'Nb4 Tc2 Pd4'
_cell_length_a 7.288
_cell_length_b 7.288
_cell_length_c 3.169
_cell_angle_alpha 90.00
_cell_angle_beta 90.00
_cell_angle_gamma 90.00
_symmetry_space_group_name_H-M 'P 4/m b m'
_symmetry_Int_Tables_number 127
_symmetry_space_group_name_Hall '-P 4 2ab'
loop_
_atom_site_label
_atom_site_type_symbol
_atom_site_fract_x
_atom_site_fract_y
_atom_site_fract_z
Nb1 Nb 0.178 0.322 0.000
Tc1 Tc 0.000 0.000 0.500
Pd1 Pd 0.126 0.626 0.500

---

Q: What is the formula in the eighth record?
A: Nb2TcPd2

---

Q: Which value of electronic total energy does entry 1 give?
A: -31.67 eV/f.u.

---

Q: The highest total magnetization belongs to which entry?
A: number 6